1.
DFT (PBE) results for an optimized crystal structure of LiAc2ReO6.

Cell and atoms, written as POSCAR:
```
LiAc2ReO6
1.0
5.667 0.000 0.000
0.000 5.667 0.000
0.000 0.000 4.002
Li Ac Re O
1 2 1 6
direct
0.000 0.000 0.000
0.000 0.500 0.500
0.500 0.000 0.500
0.500 0.500 0.000
0.000 0.000 0.500
0.258 0.258 0.000
0.258 0.742 0.000
0.500 0.500 0.500
0.742 0.258 0.000
0.742 0.742 0.000
```

Values from the calculation:
**Raw formation energy**: -2.43 eV per atom
**Magnetic moment**: 0.007 μB per atom

2.
DFT (PBE) results for an optimized crystal structure of Ca3TaCu.

Cell and atoms, written as POSCAR:
```
Ca3TaCu
1.0
5.390 0.000 0.000
0.000 5.390 0.000
0.000 0.000 5.390
Ca Ta Cu
3 1 1
direct
0.000 0.000 0.500
0.000 0.500 0.000
0.500 0.000 0.000
0.500 0.500 0.500
0.000 0.000 0.000
```

Values from the calculation:
**Calculated formation energy**: 4.2 eV per formula unit
**Offset from the most stable computed form**: 0.0 kJ/mol of atoms
**Magnetic moment**: 0.659 μB per atom